Record 1
Material: La2PmTc2N6
Method: DFT, PBE-GGA
State: optimized geometry

Unit cell a=5.810 b=5.810 c=7.028 alpha=65.59 beta=65.59 gamma=60.00
Atoms (fractional coordinates):
La 0.792 0.792 0.624
La 0.208 0.208 0.376
Pm 0.000 0.000 0.000
Tc 0.403 0.403 0.791
Tc 0.597 0.597 0.209
N 0.738 0.738 0.296
N 0.227 0.738 0.296
N 0.738 0.227 0.296
N 0.262 0.773 0.704
N 0.773 0.262 0.704
N 0.262 0.262 0.704

Output
D(E_F) = 4.3 states/eV/cell
density = 6.464 g cm⁻³
total DFT energy (no corrections) = -8.436 eV per atom
spin magnetization = 0.0 Bohr magnetons per cell
crystal system = trigonal
formation energy (no corrections) = -0.68 eV/atom

---

Record 2
Material: Cu2SiNi
Method: DFT, PBE-GGA
State: optimized geometry

Unit cell a=2.576 b=2.576 c=8.426 alpha=90.00 beta=90.00 gamma=119.25
Atoms (fractional coordinates):
Cu 0.000 0.000 0.002
Cu 0.000 0.000 0.498
Ni 0.500 0.500 0.250
Si 0.500 0.500 0.750

Output
D(E_F) = 2.4 states/eV/cell
density = 7.277 g cm⁻³
total DFT energy (no corrections) = -4.707 eV per atom
spin magnetization = 0.4 Bohr magnetons per cell
crystal system = orthorhombic
formation energy (no corrections) = 0.14 eV/atom

---

Record 3
Material: SrAlCu3
Method: DFT, PBE-GGA
State: optimized geometry

Unit cell a=4.700 b=4.700 c=4.700 alpha=90.00 beta=90.00 gamma=90.00
Atoms (fractional coordinates):
Sr 0.500 0.500 0.500
Al 0.000 0.000 0.000
Cu 0.000 0.500 0.000
Cu 0.000 0.000 0.500
Cu 0.500 0.000 0.000

Output
D(E_F) = 1.7 states/eV/cell
density = 4.883 g cm⁻³
total DFT energy (no corrections) = -3.452 eV per atom
spin magnetization = 0.0 Bohr magnetons per cell
energy relative to the elements = 0.091 eV per atom
crystal system = cubic

---

Record 4
Material: Pm4Eu2N
Method: DFT, PBE-GGA
State: optimized geometry

Unit cell a=5.036 b=5.036 c=9.862 alpha=104.79 beta=104.79 gamma=90.00
Atoms (fractional coordinates):
Eu 0.670 0.670 0.340
Eu 0.330 0.330 0.660
N 0.000 0.000 0.000
Pm 0.871 0.871 0.742
Pm 0.129 0.129 0.258
Pm 0.000 0.500 0.000
Pm 0.500 0.000 0.000

Output
D(E_F) = 24.1 states/eV/cell
density = 6.393 g cm⁻³
total DFT energy (no corrections) = -7.062 eV per atom
spin magnetization = 15.4 Bohr magnetons per cell
crystal system = tetragonal
formation energy (no corrections) = -0.22 eV/atom